No. 1
# La4AsPI2

An optimized crystal structure of La4AsPI2 (PBE, Alexandria).

Its magnetization is 0.000 μB/f.u. The energy relative to the elements, uncorrected is -11.480 eV per formula unit. As for the calculated total energy: -5.5437 eV per atom. The calculation puts the density of states at the Fermi level at 3.53 states/eV/cell. The calculated volume is 32.02 A^3/atom.

It has space group P2/m (No. 10), with a = 7.588 Å, b = 4.357 Å, c = 8.146 Å, α = 90.00°, β = 107.98° and γ = 90.00°. The distinct sites, in fractional coordinates, are La at (0.222, 0.000, 0.195), La at (0.257, 0.500, 0.803), As at (0.500, 0.000, 0.000), P at (0.000, 0.500, 0.000), I at (0.000, 0.000, 0.500) and I at (0.500, 0.500, 0.500).

***

No. 2
# SrY3S

An optimized crystal structure of SrY3S (PBE, Alexandria).

As for the energy above the lowest structure with this stoichiometry: 0 meV/atom. Its magnetization is 0.006 μB/f.u. The energy relative to the elements, uncorrected is -2.994 eV per formula unit. As for the calculated total energy: -5.6390 eV per atom. The calculation puts the density of states at the Fermi level at 10.61 states/eV/cell. The calculated volume is 32.16 A^3/atom.

It has space group Pm-3m (No. 221), with a = 5.438 Å, b = 5.438 Å, c = 5.438 Å, α = 90.00°, β = 90.00° and γ = 90.00°. The distinct sites, in fractional coordinates, are Sr at (0.000, 0.000, 0.000), Y at (0.000, 0.500, 0.500) and S at (0.500, 0.500, 0.500).

***

No. 3
# CdPbNO2

An optimized crystal structure of CdPbNO2 (PBE, Alexandria).

Its magnetization is 2.092 μB/f.u. The energy relative to the elements, uncorrected is 2.147 eV per formula unit. As for the calculated total energy: -4.1436 eV per atom. The calculation puts the density of states at the Fermi level at 2.24 states/eV/cell. The calculated volume is 15.92 A^3/atom.

It has space group P4/mmm (No. 123), with a = 4.356 Å, b = 4.356 Å, c = 4.195 Å, α = 90.00°, β = 90.00° and γ = 90.00°. The distinct sites, in fractional coordinates, are Cd at (0.000, 0.000, 0.000), Pb at (0.500, 0.500, 0.500), N at (0.000, 0.000, 0.500) and O at (0.000, 0.500, 0.000).

***

No. 4
# YAlCd

An optimized crystal structure of YAlCd (PBE, Alexandria).

As for the energy of formation: -0.2789 eV/atom. Its magnetization is 0.000 μB/f.u. As for the calculated total energy: -3.9862 eV per atom. The calculation puts the density of states at the Fermi level at 2.07 states/eV/cell. The calculated volume is 22.93 A^3/atom.

It has space group P6_3/mmc (No. 194), with a = 5.0842 Å, b = 5.0842 Å, c = 6.1465 Å, α = 90.00°, β = 90.00° and γ = 120.00°. The distinct sites, in fractional coordinates, are Y at (0.3333, 0.6667, 0.2500), Al at (0.3333, 0.6667, 0.7500) and Cd at (0.0000, 0.0000, 0.0000).

***

No. 5
# Li3CdIn3Pd2

An optimized crystal structure of Li3CdIn3Pd2 (PBE, Alexandria).

As for the energy of formation: -0.3901 eV/atom. Its magnetization is 0.000 μB/f.u. As for the calculated total energy: -3.1965 eV per atom. The calculation puts the density of states at the Fermi level at 2.38 states/eV/cell. The calculated volume is 17.95 A^3/atom.

It has space group P-62m (No. 189), with a = 7.7536 Å, b = 7.7536 Å, c = 3.1021 Å, α = 90.00°, β = 90.00° and γ = 120.00°. The distinct sites, in fractional coordinates, are Li at (0.0000, 0.6983, 0.0000), Cd at (0.0000, 0.0000, 0.5000), In at (0.0000, 0.3782, 0.5000) and Pd at (0.3333, 0.6667, 0.0000).

***

No. 6
# Y3MgP3O12

An optimized crystal structure of Y3MgP3O12 (PBE, Alexandria).

Its magnetization is 0.000 μB/f.u. The energy relative to the elements, uncorrected is -51.528 eV per formula unit. As for the calculated total energy: -7.8022 eV per atom. The calculated volume is 14.25 A^3/atom.

It has space group C222 (No. 21), with a = 7.081 Å, b = 12.149 Å, c = 6.295 Å, α = 90.00°, β = 90.00° and γ = 90.00°. The distinct sites, in fractional coordinates, are Y at (0.000, 0.000, 0.000), Y at (0.250, 0.250, 0.668), Mg at (0.000, 0.500, 0.500), P at (0.000, 0.000, 0.500), P at (0.250, 0.250, 0.164), O at (0.082, 0.272, 0.317), O at (0.122, 0.070, 0.653) and O at (0.211, 0.152, 0.012).

***

No. 7
# Ce2Er

An optimized crystal structure of Ce2Er (PBE, Alexandria).

As for the energy of formation: 0.2109 eV/atom. As for the energy above the lowest structure with this stoichiometry: 137 meV/atom. Its magnetization is 2.091 μB/f.u. As for the calculated total energy: -5.2660 eV per atom. The calculation puts the density of states at the Fermi level at 74.99 states/eV/cell. The calculated volume is 29.33 A^3/atom.

It has space group Fd-3m (No. 227, origin choice 2), with a = 8.895 Å, b = 8.895 Å, c = 8.895 Å, α = 90.00°, β = 90.00° and γ = 90.00°. The distinct sites, in fractional coordinates, are Ce at (0.000, 0.000, 0.000) and Er at (0.125, 0.125, 0.625).

***

No. 8
# CsSrF3

An optimized crystal structure of CsSrF3 (PBE, Alexandria).

As for the energy above the lowest structure with this stoichiometry: 258 meV/atom. Its magnetization is 0.000 μB/f.u. The energy relative to the elements, uncorrected is -15.875 eV per formula unit. As for the calculated total energy: -4.8049 eV per atom. The calculation puts the density of states at the Fermi level at 0.00 states/eV/cell. The calculated volume is 24.31 A^3/atom.

It has space group P4mm (No. 99), with a = 4.059 Å, b = 4.059 Å, c = 7.379 Å, α = 90.00°, β = 90.00° and γ = 90.00°. The distinct sites, in fractional coordinates, are Cs at (0.000, 0.000, 0.000), Sr at (0.500, 0.500, 0.433), F at (0.000, 0.000, 0.605) and F at (0.000, 0.500, 0.261).

***

No. 9
# Ti8VN2

An optimized crystal structure of Ti8VN2 (PBE, Alexandria).

Its magnetization is 0.000 μB/f.u. The energy relative to the elements, uncorrected is -2.899 eV per formula unit. As for the calculated total energy: -8.3479 eV per atom. The calculation puts the density of states at the Fermi level at 21.93 states/eV/cell. The calculated volume is 15.33 A^3/atom.

It has space group C2/m (No. 12), with a = 11.994 Å, b = 5.667 Å, c = 5.090 Å, α = 90.00°, β = 102.85° and γ = 90.00°. The distinct sites, in fractional coordinates, are Ti at (0.100, 0.250, 0.198), Ti at (0.128, 0.000, 0.691), Ti at (0.200, 0.500, 0.743), V at (0.000, 0.500, 0.500) and N at (0.210, 0.500, 0.138).

***

No. 10
# LaHgPt2

An optimized crystal structure of LaHgPt2 (PBE, Alexandria).

As for the energy of formation: -0.3253 eV/atom. Its magnetization is 0.000 μB/f.u. As for the calculated total energy: -4.6530 eV per atom. The calculation puts the density of states at the Fermi level at 11.15 states/eV/cell. The calculated volume is 25.19 A^3/atom.

It has space group I-42d (No. 122), with a = 4.673 Å, b = 4.673 Å, c = 18.460 Å, α = 90.00°, β = 90.00° and γ = 90.00°. The distinct sites, in fractional coordinates, are La at (0.000, 0.000, 0.000), Hg at (0.000, 0.000, 0.500) and Pt at (0.155, 0.250, 0.625).

***

No. 11
# Ce2TaN4

An optimized crystal structure of Ce2TaN4 (PBE, Alexandria).

As for the energy above the lowest structure with this stoichiometry: 218 meV/atom. Its magnetization is 1.054 μB/f.u. The energy relative to the elements, uncorrected is -8.053 eV per formula unit. As for the calculated total energy: -9.2963 eV per atom. The calculation puts the density of states at the Fermi level at 17.00 states/eV/cell. The calculated volume is 16.77 A^3/atom.

It has space group P2_1/m (No. 11), with a = 6.028 Å, b = 6.103 Å, c = 6.779 Å, α = 90.00°, β = 109.72° and γ = 90.00°. The distinct sites, in fractional coordinates, are Ce at (0.161, 0.250, 0.013), Ce at (0.264, 0.250, 0.551), Ta at (0.283, 0.750, 0.812), N at (0.049, 0.512, 0.751), N at (0.489, 0.750, 0.099) and N at (0.495, 0.250, 0.340).

***

No. 12
# Mn4Cr3Se8

An optimized crystal structure of Mn4Cr3Se8 (PBE, Alexandria).

Its magnetization is 27.608 μB/f.u. The energy relative to the elements, uncorrected is -6.019 eV per formula unit. As for the calculated total energy: -6.6295 eV per atom. The calculation puts the density of states at the Fermi level at 13.65 states/eV/cell. The calculated volume is 21.05 A^3/atom.

It has space group R-3m (No. 166, hexagonal axes), with a = 7.5316 Å, b = 7.5316 Å, c = 19.2852 Å, α = 90.00°, β = 90.00° and γ = 120.00°. The distinct sites, in fractional coordinates, are Mn at (0.0000, 0.0000, 0.0000), Mn at (0.0000, 0.0000, 0.1377), Mn at (0.0000, 0.0000, 0.5000), Cr at (0.0000, 0.5000, 0.0000), Se at (0.0000, 0.0000, 0.2654) and Se at (0.0152, 0.5076, 0.2560).

***

Please write out number 9 again, unchanged.
# Ti8VN2

An optimized crystal structure of Ti8VN2 (PBE, Alexandria).

Its magnetization is 0.000 μB/f.u. The energy relative to the elements, uncorrected is -2.899 eV per formula unit. As for the calculated total energy: -8.3479 eV per atom. The calculation puts the density of states at the Fermi level at 21.93 states/eV/cell. The calculated volume is 15.33 A^3/atom.

It has space group C2/m (No. 12), with a = 11.994 Å, b = 5.667 Å, c = 5.090 Å, α = 90.00°, β = 102.85° and γ = 90.00°. The distinct sites, in fractional coordinates, are Ti at (0.100, 0.250, 0.198), Ti at (0.128, 0.000, 0.691), Ti at (0.200, 0.500, 0.743), V at (0.000, 0.500, 0.500) and N at (0.210, 0.500, 0.138).